(1)
K5AsS4Br2 | PBE | relaxed

## Properties
- Formation energy (no corrections): -1126 meV per atom
- Magnetization: 0.0 μB per formula unit

abc: 7.811 6.743 9.684
angles: 90.00 90.00 125.39
Fractional coordinates of all 12 atoms:
K1 0.118 0.400 0.230
K2 0.438 0.000 0.500
K3 0.118 0.400 0.770
K4 0.719 0.600 0.770
K5 0.719 0.600 0.230
As1 0.393 0.000 0.000
S1 0.557 0.000 0.185
S2 0.557 0.000 0.815
S3 0.383 0.319 0.000
S4 0.064 0.681 0.000
Br1 0.941 0.542 0.500
Br2 0.399 0.458 0.500

(2)
LiErBi2 | PBE | relaxed

## Properties
- Magnetization: 0.0 μB per formula unit
- Calculated formation energy: -0.45 eV/atom

abc: 4.678 4.678 6.907
angles: 70.20 70.20 60.00
Fractional coordinates of all 4 atoms:
Li1 0.491 0.491 0.527
Er1 0.671 0.671 0.987
Bi1 0.087 0.087 0.738
Bi2 0.251 0.251 0.248

(3)
LaCd2Co | PBE | relaxed

## Properties
- Magnetization: 0.8 μB per formula unit
- Calculated formation energy: 0.23 eV/atom

abc: 4.635 6.469 3.451
angles: 75.48 87.44 110.26
Last column: magnetic moment on the atom in μB.
Fractional coordinates of all 4 atoms:
Cd1 0.000 0.000 0.000  0.01
Cd2 0.500 0.000 0.500  0.01
Co1 0.000 0.500 0.500  0.99
La1 0.500 0.500 0.000  -0.13

Number 1: uncorrected energy -3.63 eV/atom, DOS(E_F) 0.00 states/eV/atom, V 415.8 Å³/cell. Number 2: uncorrected energy -4.01 eV/atom, DOS(E_F) 0.36 states/eV/atom, V 120.5 Å³/cell. Number 3: uncorrected energy -3.24 eV/atom, DOS(E_F) 0.81 states/eV/atom, V 93.0 Å³/cell.